[1]
SnIrRh: relaxed, GGA-PBE.

Properties
energy relative to the elements	0.165	eV per atom
calculated total energy	-6.573	eV per atom
M_tot	0.000	μB per cell

a = 3.055 Å, b = 3.055 Å, c = 12.538 Å
α = 90.00°, β = 90.00°, γ = 120.00°
Sites, in units of the cell vectors:
Sn: 0.000 0.000 0.171
Sn: 0.000 0.000 0.829
Ir: 0.000 0.000 0.500
Ir: 0.333 0.667 0.000
Rh: 0.333 0.667 0.337
Rh: 0.333 0.667 0.663

=====

[2]
DyHgPd6: relaxed, GGA-PBE.

Properties
energy relative to the elements	-0.501	eV per atom
calculated total energy	-5.008	eV per atom
energy above the lowest structure with this stoichiometry	0	meV/atom
M_tot	0.000	μB per cell

a = 5.741 Å, b = 5.741 Å, c = 4.152 Å
α = 90.00°, β = 90.00°, γ = 90.00°
Sites, in units of the cell vectors:
Dy: 0.000 0.000 0.000
Hg: 0.500 0.500 0.000
Pd: 0.000 0.500 0.000
Pd: 0.252 0.252 0.500
Pd: 0.252 0.748 0.500
Pd: 0.500 0.000 0.000
Pd: 0.748 0.252 0.500
Pd: 0.748 0.748 0.500

=====

Number 1: D(E_F) 1.190 states/eV per atom. Number 2: D(E_F) 0.880 states/eV per atom.